[1]
VASP calculation (GGA-PBE) on a relaxed structure of KZr2Ir.

## Properties
Formation enthalpy at 0 K   0.85 eV per atom
Total DFT energy (no corrections)   -0.435 Ry/atom
N(E_F)   5.3 states/eV/f.u.
Crystal system   tetragonal
Excess energy over the best structure of this formula in the dataset   853 meV per atom

Cell: 5.8573 5.8573 17.0818 Å, 90.00 90.00 90.00°
With the nearest neighbours (Å) after each atom.
Space group I-42d (No. 122)
Inequivalent atoms, fractional coordinates:
K (0.0000, 0.0000, 0.0000) [4 per cell]  8 Zr 3.90-3.92, 4 Ir 4.14
Zr (0.0015, 0.2500, 0.6250) [8 per cell]  2 Ir 2.59
Ir (0.0000, 0.0000, 0.5000) [4 per cell]  4 Zr 2.59



[2]
VASP calculation (GGA-PBE) on a relaxed structure of K4Ce3NpTe8.

## Properties
Total DFT energy (no corrections)   -0.367 Ry/atom
N(E_F)   28.7 states/eV/f.u.
Crystal system   trigonal

Cell: 9.2719 9.2719 24.6456 Å, 90.00 90.00 120.00°
With the nearest neighbours (Å) after each atom.
Space group R-3m (No. 166, hexagonal axes)
Inequivalent atoms, fractional coordinates:
K (0.0000, 0.0000, 0.0000) [3 per cell]  6 Te 3.59
K (0.0000, 0.5000, 0.0000) [9 per cell]  6 Te 3.56
Ce (0.0000, 0.5000, 0.5000) [9 per cell]  6 Te 3.20-3.21
Np (0.0000, 0.0000, 0.5000) [3 per cell]  6 Te 3.18
Te (0.0000, 0.0000, 0.2382) [6 per cell]  3 Ce 3.21, 3 K 3.56
Te (0.0028, 0.5014, 0.2374) [18 per cell]  1 Np 3.18, 2 Ce 3.20



[3]
VASP calculation (GGA-PBE) on a relaxed structure of SrMgMo2.

## Properties
Formation enthalpy at 0 K   0.84 eV per atom
Total DFT energy (no corrections)   -0.397 Ry/atom
N(E_F)   4.8 states/eV/f.u.
Crystal system   cubic

Cell: 6.8636 6.8636 6.8636 Å, 90.00 90.00 90.00°
With the nearest neighbours (Å) after each atom.
Space group F-43m (No. 216)
Inequivalent atoms, fractional coordinates:
Sr (0.0000, 0.0000, 0.0000) [4 per cell]  4 Mg 2.97, 4 Mo 2.97
Mg (0.2500, 0.2500, 0.2500) [4 per cell]  4 Mo 2.97, 4 Sr 2.97
Mo (0.0000, 0.0000, 0.5000) [4 per cell]  4 Mo 2.97, 4 Mg 2.97
Mo (0.2500, 0.2500, 0.7500) [4 per cell]  4 Mo 2.97, 4 Sr 2.97



[4]
VASP calculation (GGA-PBE) on a relaxed structure of In2TcP.

## Properties
Formation enthalpy at 0 K   0.47 eV per atom
Total DFT energy (no corrections)   -0.356 Ry/atom
N(E_F)   2.4 states/eV/f.u.
Crystal system   trigonal

Cell: 3.2924 3.2924 24.4923 Å, 90.00 90.00 120.00°
With the nearest neighbours (Å) after each atom.
Space group R-3m (No. 166, hexagonal axes)
Inequivalent atoms, fractional coordinates:
In (0.0000, 0.0000, 0.2489) [6 per cell]  3 P 2.77, 3 Tc 2.81
Tc (0.0000, 0.0000, 0.0000) [3 per cell]  6 In 2.81
P (0.0000, 0.0000, 0.5000) [3 per cell]  6 In 2.77



[5]
VASP calculation (GGA-PBE) on a relaxed structure of RbBBr3.

## Properties
Total DFT energy (no corrections)   -0.210 Ry/atom
N(E_F)   0.0 states/eV/f.u.
Crystal system   tetragonal
Excess energy over the best structure of this formula in the dataset   661 meV per atom

Cell: 7.8147 7.8147 9.8049 Å, 90.00 90.00 90.00°
With the nearest neighbours (Å) after each atom.
Space group I4/mmm (No. 139)
Inequivalent atoms, fractional coordinates:
Rb (0.0000, 0.5000, 0.2500) [4 per cell]  12 Br 3.70-3.95
B (0.0000, 0.0000, 0.0000) [2 per cell]  2 Br 1.89
B (0.0000, 0.0000, 0.5000) [2 per cell]  4 Br 2.57
Br (0.0000, 0.0000, 0.1927) [4 per cell]  1 B 1.89
Br (0.2323, 0.2323, 0.5000) [8 per cell]  1 B 2.57



[6]
VASP calculation (GGA-PBE) on a relaxed structure of La8Hg2Rh.

## Properties
Formation enthalpy at 0 K   -0.31 eV per atom
Total DFT energy (no corrections)   -0.340 Ry/atom
N(E_F)   10.7 states/eV/f.u.
Crystal system   monoclinic

Cell: 19.0971 5.5017 7.0323 Å, 90.00 110.11 90.00°
With the nearest neighbours (Å) after each atom.
Space group C2/m (No. 12)
Inequivalent atoms, fractional coordinates:
La (0.0165, 0.0000, 0.2304) [4 per cell]  3 La 3.08-3.45, 2 Rh 3.15, 1 Hg 3.19
La (0.0878, 0.5000, 0.7375) [4 per cell]  1 Rh 2.89
La (0.1588, 0.5000, 0.3205) [4 per cell]  1 Rh 3.10, 3 Hg 3.21-3.41, 2 La 3.45
La (0.2059, 0.0000, 0.0947) [4 per cell]  1 Hg 3.21, 2 La 3.45
Hg (0.1665, 0.0000, 0.6131) [4 per cell]  7 La 3.19-3.41
Rh (0.0000, 0.5000, 0.0000) [2 per cell]  8 La 2.89-3.15



[7]
VASP calculation (GGA-PBE) on a relaxed structure of NaBeSn.

## Properties
Formation enthalpy at 0 K   0.07 eV per atom
Total DFT energy (no corrections)   -0.216 Ry/atom
N(E_F)   0.5 states/eV/f.u.
Crystal system   monoclinic
Excess energy over the best structure of this formula in the dataset   43 meV per atom

Cell: 12.1775 3.8365 5.9231 Å, 90.00 92.71 90.00°
With the nearest neighbours (Å) after each atom.
Space group C2/m (No. 12)
Inequivalent atoms, fractional coordinates:
Na (0.1216, 0.0000, 0.3641) [4 per cell]  1 Be 2.87
Be (0.2269, 0.0000, 0.9402) [4 per cell]  2 Be 2.11
Sn (0.0984, 0.5000, 0.8326) [4 per cell]  3 Be 2.46-2.54



[8]
VASP calculation (GGA-PBE) on a relaxed structure of HfGaS2Cl.

## Properties
Total DFT energy (no corrections)   -0.412 Ry/atom
N(E_F)   0.3 states/eV/f.u.
Crystal system   tetragonal
Excess energy over the best structure of this formula in the dataset   0 meV per atom

Cell: 4.9669 4.9669 5.0309 Å, 90.00 90.00 90.00°
With the nearest neighbours (Å) after each atom.
Space group P4/mmm (No. 123)
Inequivalent atoms, fractional coordinates:
Hf (0.0000, 0.0000, 0.0000) [1 per cell]  4 S 2.48, 2 Cl 2.52
Ga (0.5000, 0.5000, 0.5000) [1 per cell]  4 Cl 3.51, 8 S 3.53
S (0.0000, 0.5000, 0.0000) [2 per cell]  2 Hf 2.48
Cl (0.0000, 0.0000, 0.5000) [1 per cell]  2 Hf 2.52



Question: Which value of total DFT energy (no corrections) does entry 2 give?
Answer: -0.367 Ry/atom



Question: Which value of total DFT energy (no corrections) does entry 1 give?
Answer: -0.435 Ry/atom



Question: Among the records above, which one has the highest total DFT energy (no corrections)?
Answer: RbBBr3